This record from Alexandria via LeMat-Bulk describes YScTcAg after structural relaxation. The functional is PBE-GGA.

Unit cell a=4.842 b=4.842 c=4.842 alpha=60.00 beta=60.00 gamma=60.00
Sites, in units of the cell vectors:
Ag  0.750  0.750  0.750
Tc  0.250  0.250  0.250
Sc  0.500  0.500  0.500
Y  0.000  0.000  0.000

## Properties
ΔH_f (0 K)	-0.143	eV per atom
electronic total energy	-26.58	eV/cell
crystal system	cubic